Record 1
An optimized crystal structure of Ho2TlRu, computed with PBE-GGA.

Summary:
* V: 22.935 Å³ per atom
* formation energy: -0.26 eV/atom

a b c (Å): 3.640 5.021 5.021
angles (deg): 90.00 90.00 90.00
Atoms (fractional coordinates):
1 Ho 0.000 0.000 0.500
2 Ho 0.000 0.500 0.000
3 Ru 0.500 0.500 0.500
4 Tl 0.500 0.000 0.000

Record 2
An optimized crystal structure of BaFeRu, computed with PBE-GGA.

Summary:
* V: 23.744 Å³ per atom
* formation energy: 1.12 eV/atom

a b c (Å): 4.653 4.653 4.653
angles (deg): 60.00 60.00 60.00
Each line ends with the local moment (μB).
Atoms (fractional coordinates):
1 Ba 0.750 0.750 0.750  -0.04
2 Fe 0.000 0.000 0.000  2.78
3 Ru 0.250 0.250 0.250  1.27

Record 3
An optimized crystal structure of NbVCd3, computed with PBE-GGA.

Summary:
* V: 25.280 Å³ per atom
* formation energy: 1.40 eV/atom

a b c (Å): 5.019 5.019 5.019
angles (deg): 90.00 90.00 90.00
Each line ends with the local moment (μB).
Atoms (fractional coordinates):
1 Cd 0.000 0.000 0.500  0.05
2 Cd 0.500 0.000 0.000  0.05
3 Cd 0.000 0.500 0.000  0.05
4 V 0.000 0.000 0.000  2.37
5 Nb 0.500 0.500 0.500  1.56